The following is a PBE with a Hubbard U calculation of an optimized crystal structure of KGdW2O8, from Alexandria.

a = 7.7170 Å, b = 7.7170 Å, c = 7.4841 Å
α = 62.20°, β = 62.20°, γ = 88.38°
Closest atoms and distances in Å follow each position.
Atoms (fractional coordinates):
1 K 0.2881 0.7119 0.7500  10 O 2.87-3.09
2 K 0.7119 0.2881 0.2500  10 O 2.87-3.09
3 Gd 0.2755 0.7245 0.2500  6 O 2.31-2.34
4 Gd 0.7245 0.2755 0.7500  6 O 2.31-2.34
5 W 0.8000 0.8088 0.7144  4 O 1.83-2.02
6 W 0.1912 0.2000 0.7856  4 O 1.83-2.02
7 W 0.2000 0.1912 0.2856  4 O 1.83-2.02
8 W 0.8088 0.8000 0.2144  4 O 1.83-2.02
9 O 0.7297 0.5421 0.8114  1 W 1.83
10 O 0.4579 0.2703 0.6886  1 W 1.83
11 O 0.2703 0.4579 0.1886  1 W 1.83
12 O 0.5421 0.7297 0.3114  1 W 1.83
13 O 0.0930 0.8734 0.4674  2 W 2.02-2.12
14 O 0.1266 0.9070 0.0326  2 W 2.02-2.12
15 O 0.9070 0.1266 0.5326  2 W 2.02-2.12
16 O 0.8734 0.0930 0.9674  2 W 2.02-2.12
17 O 0.5585 0.8636 0.8741  1 W 1.85
18 O 0.1364 0.4415 0.6259  1 W 1.85
19 O 0.4415 0.1364 0.1259  1 W 1.85
20 O 0.8636 0.5585 0.3741  1 W 1.85
21 O 0.8746 0.7499 0.9428  2 W 1.91-2.07
22 O 0.2501 0.1254 0.5572  2 W 1.91-2.07
23 O 0.1254 0.2501 0.0572  2 W 1.91-2.07
24 O 0.7499 0.8746 0.4428  2 W 1.91-2.07

Calculated values
- Magnetization: 13.9 μB/cell
- SG: C2/c (15)
- E_tot: -8.189 eV/atom